No. 1
{
  "formula": "RbNbCuSeS2",
  "functional": "PBE",
  "state": "relaxed",
  "e_tot_ev_per_cell": -63.0,
  "sg": "No. 63",
  "crystal_system": "orthorhombic",
  "cell": [[-4.913, 5.519, 3.004], [3.803, -7.011, 0.103], [7.556, 4.168, 4.698]],
  "species": ["Nb", "Rb", "Cu", "S", "S", "Se", "Se", "S", "S", "Nb", "Rb", "Cu"],
  "frac_coords": [[0.500, 0.500, 0.500], [0.260, 0.740, 0.750], [0.967, 0.033, 0.750], [0.109, 0.891, 0.054], [0.891, 0.109, 0.554], [0.572, 0.428, 0.750], [0.428, 0.572, 0.250], [0.891, 0.109, 0.946], [0.109, 0.891, 0.446], [0.500, 0.500, 0.000], [0.740, 0.260, 0.250], [0.033, 0.967, 0.250]]
}

No. 2
{
  "formula": "Hf2CdAg",
  "functional": "PBE",
  "state": "relaxed",
  "sg": "No. 216",
  "crystal_system": "cubic",
  "formation_energy_ev_per_atom": 0.3005,
  "cell": [[-0.407, -3.669, 3.234], [-3.243, -3.603, -0.771], [1.566, -4.499, -1.183]],
  "species": ["Cd", "Hf", "Ag", "Hf"],
  "frac_coords": [[0.500, 0.500, 0.500], [0.000, 0.000, 0.000], [0.750, 0.750, 0.750], [0.250, 0.250, 0.250]]
}